No. 1
DFT (PBE) results for crystalline CaGd2Sc at its relaxed geometry.

Cell: 3.5016 3.5016 36.7686 Å, 90.00 90.00 120.00°
Space group R-3m (No. 166, hexagonal axes)
Unique sites:
Ca: 0.0000 0.0000 0.0000 x3
Gd: 0.0000 0.0000 0.0933 x6
Sc: 0.0000 0.0000 0.5000 x3

Output
* DFT formation energy: 0.178 eV per atom
* total energy: -107.352 eV/cell
* offset from the most stable computed form: 0.112 eV/atom



No. 2
DFT (PBE) results for crystalline CsSiSb2Te at its relaxed geometry.

Cell: 5.4292 5.4292 5.7037 Å, 90.00 90.00 90.00°
Space group P4/mmm (No. 123)
Unique sites:
Cs: 0.0000 0.0000 0.0000 x1
Si: 0.5000 0.5000 0.5000 x1
Sb: 0.0000 0.5000 0.5000 x2
Te: 0.5000 0.5000 0.0000 x1

Output
* uncorrected formation energy: 0.17 eV per atom
* total energy: -16.806 eV/cell
* offset from the most stable computed form: 0.000 eV/atom



No. 3
DFT (PBE) results for crystalline Rb2HfHgI6 at its relaxed geometry.

Cell: 8.9745 8.9745 23.0579 Å, 90.00 90.00 120.00°
Space group R3 (No. 146, hexagonal axes)
Unique sites:
Rb: 0.0000 0.0000 0.0000 x3
Rb: 0.0000 0.0000 0.4759 x3
Hf: 0.0000 0.0000 0.6773 x3
Hg: 0.0000 0.0000 0.1809 x3
I: 0.0212 0.2696 0.7499 x9
I: 0.0818 0.6831 0.2720 x9

Output
* uncorrected formation energy: -1.04 eV per atom
* total energy: -95.755 eV/cell
* offset from the most stable computed form: 0.000 eV/atom